[1]
This record from Alexandria via LeMat-Bulk describes crystalline LiSi2Mo at its relaxed geometry. The functional is GGA-PBE.

## Properties
Density (g cm⁻³): 4.976
Formation energy without anion corrections (eV/atom): -0.17
Energy above the lowest structure with this stoichiometry (meV per atom): 20
Total magnetization (μB per atom): 0.000

The structure in CIF format:
```
data_LiSi2Mo
_chemical_formula_sum 'Li2 Si4 Mo2'
_cell_length_a 3.5366
_cell_length_b 3.6452
_cell_length_c 8.2345
_cell_angle_alpha 90.00
_cell_angle_beta 90.00
_cell_angle_gamma 90.00
_symmetry_space_group_name_H-M 'I m m 2'
_symmetry_Int_Tables_number 44
loop_
_symmetry_equiv_pos_as_xyz
'x,y,z'
'-x,-y,z'
'-x,y,z'
'x,-y,z'
'x+1/2,y+1/2,z+1/2'
'-x+1/2,-y+1/2,z+1/2'
'-x+1/2,y+1/2,z+1/2'
'x+1/2,-y+1/2,z+1/2'
loop_
_atom_site_label
_atom_site_type_symbol
_atom_site_fract_x
_atom_site_fract_y
_atom_site_fract_z
Li1 Li 0.0000 0.0000 0.0000
Si1 Si 0.0000 0.0000 0.5004
Si2 Si 0.0000 0.5000 0.2469
Mo1 Mo 0.0000 0.5000 0.7516
```


[2]
This record from Alexandria via LeMat-Bulk describes crystalline LiSi2Mo at its relaxed geometry. The functional is GGA-PBE.

## Properties
Density (g cm⁻³): 4.876
Formation energy without anion corrections (eV/atom): -0.04
Energy above the lowest structure with this stoichiometry (meV per atom): 154
Total magnetization (μB per atom): 0.000

The structure in CIF format:
```
data_LiSi2Mo
_chemical_formula_sum 'Li1 Si2 Mo1'
_cell_length_a 4.1188
_cell_length_b 4.1188
_cell_length_c 3.1926
_cell_angle_alpha 90.00
_cell_angle_beta 90.00
_cell_angle_gamma 90.00
_symmetry_space_group_name_H-M 'P 4/m m m'
_symmetry_Int_Tables_number 123
_symmetry_space_group_name_Hall '-P 4 2'
loop_
_atom_site_label
_atom_site_type_symbol
_atom_site_fract_x
_atom_site_fract_y
_atom_site_fract_z
Li1 Li 0.0000 0.0000 0.0000
Si1 Si 0.0000 0.5000 0.5000
Mo1 Mo 0.5000 0.5000 0.0000
```


Among the records above, which one has the lowest density? number 2


Number 2 is which compound? LiSi2Mo


The lowest formation energy without anion corrections belongs to which entry? number 1